TmPuCrRu | Alexandria | PBE | optimized geometry; DFT total energy = -0.34735 Ha/atom; total moment = 1.723 Bohr magnetons per cell
1.0
4.793 0.000 0.000
2.396 4.151 0.000
2.396 1.384 3.913
Ru Tm Cr Pu
1 1 1 1
Cartesian
2.396 1.384 0.978
0.000 0.000 0.000
7.189 4.151 2.935
4.793 2.767 1.957

PuUCrRu | Alexandria | PBE | optimized geometry; DFT total energy = -0.40846 Ha/atom; total moment = 0.862 Bohr magnetons per cell
1.0
-1.537 -3.730 -2.163
2.765 -2.313 -2.820
1.546 -4.139 1.196
Ru U Cr Pu
1 1 1 1
Cartesian
1.387 -5.091 -1.894
0.000 0.000 0.000
2.080 -7.636 -2.840
0.693 -2.545 -0.947